<one>
# GdThAl (GGA-PBE, relaxed)
data_GdThAl
_cell_length_a 5.1183
_cell_length_b 5.1183
_cell_length_c 3.6229
_cell_angle_alpha 90.00
_cell_angle_beta 90.00
_cell_angle_gamma 120.00
_space_group_name_H-M_alt 'P 3 m 1'
_space_group_IT_number 156
_space_group_name_Hall 'P 3 -2"'
loop_
_atom_site_label
_atom_site_type_symbol
_atom_site_fract_x
_atom_site_fract_y
_atom_site_fract_z
Gd1 Gd 0.0000 0.0000 0.0000
Th1 Th 0.6667 0.3333 0.4315
Al1 Al 0.3333 0.6667 0.7663
# D(E_F): 3.53 states/eV/cell
# M_tot: 2.467 μB per atom

***

<two>
# GdThAl (GGA-PBE, relaxed)
data_GdThAl
_cell_length_a 3.4213
_cell_length_b 3.4213
_cell_length_c 14.1606
_cell_angle_alpha 90.00
_cell_angle_beta 90.00
_cell_angle_gamma 90.00
_space_group_name_H-M_alt 'I 4 m m'
_space_group_IT_number 107
_space_group_name_Hall 'I 4 -2'
loop_
_atom_site_label
_atom_site_type_symbol
_atom_site_fract_x
_atom_site_fract_y
_atom_site_fract_z
Gd1 Gd 0.0000 0.0000 0.0000
Th1 Th 0.0000 0.0000 0.7068
Al1 Al 0.0000 0.0000 0.3566
# D(E_F): 7.35 states/eV/cell
# M_tot: 2.473 μB per atom

***

<two> ends up most stable, edging out the next structure by 11.3 kJ/mol of atoms.

***

<one>
# GdThAl2 (GGA-PBE, relaxed)
data_GdThAl2
_cell_length_a 3.4152
_cell_length_b 3.4152
_cell_length_c 8.4893
_cell_angle_alpha 90.00
_cell_angle_beta 90.00
_cell_angle_gamma 90.00
_space_group_name_H-M_alt 'P 4/m m m'
_space_group_IT_number 123
_space_group_name_Hall '-P 4 2'
loop_
_atom_site_label
_atom_site_type_symbol
_atom_site_fract_x
_atom_site_fract_y
_atom_site_fract_z
Gd1 Gd 0.0000 0.0000 0.0000
Th1 Th 0.0000 0.0000 0.5000
Al1 Al 0.5000 0.5000 0.2434
# D(E_F): 3.52 states/eV/cell
# M_tot: 1.811 μB per atom

***

<two>
# GdThAl2 (GGA-PBE, relaxed)
data_GdThAl2
_cell_length_a 3.6374
_cell_length_b 3.6374
_cell_length_c 28.1233
_cell_angle_alpha 90.00
_cell_angle_beta 90.00
_cell_angle_gamma 120.00
_space_group_name_H-M_alt 'R -3 m'
_space_group_IT_number 166
_space_group_name_Hall '-R 3 2"'
loop_
_atom_site_label
_atom_site_type_symbol
_atom_site_fract_x
_atom_site_fract_y
_atom_site_fract_z
Gd1 Gd 0.0000 0.0000 0.0000
Th1 Th 0.0000 0.0000 0.5000
Al1 Al 0.0000 0.0000 0.2517
# D(E_F): 14.11 states/eV/cell
# M_tot: 1.785 μB per atom

***

<three>
# GdThAl2 (GGA-PBE, relaxed)
data_GdThAl2
_cell_length_a 7.3711
_cell_length_b 7.3711
_cell_length_c 7.3711
_cell_angle_alpha 90.00
_cell_angle_beta 90.00
_cell_angle_gamma 90.00
_space_group_name_H-M_alt 'F m -3 m'
_space_group_IT_number 225
_space_group_name_Hall '-F 4 2 3'
loop_
_atom_site_label
_atom_site_type_symbol
_atom_site_fract_x
_atom_site_fract_y
_atom_site_fract_z
Gd1 Gd 0.0000 0.0000 0.0000
Th1 Th 0.0000 0.0000 0.5000
Al1 Al 0.2500 0.2500 0.2500
# D(E_F): 12.43 states/eV/cell
# M_tot: 1.782 μB per atom

***

<one> ends up most stable, edging out the next structure by 3.3 kJ/mol of atoms.

***

<one>
# GdTiAl2 (GGA-PBE, relaxed)
data_GdTiAl2
_cell_length_a 6.8205
_cell_length_b 6.8205
_cell_length_c 6.8205
_cell_angle_alpha 90.00
_cell_angle_beta 90.00
_cell_angle_gamma 90.00
_space_group_name_H-M_alt 'F m -3 m'
_space_group_IT_number 225
_space_group_name_Hall '-F 4 2 3'
loop_
_atom_site_label
_atom_site_type_symbol
_atom_site_fract_x
_atom_site_fract_y
_atom_site_fract_z
Gd1 Gd 0.0000 0.0000 0.0000
Ti1 Ti 0.0000 0.0000 0.5000
Al1 Al 0.2500 0.2500 0.2500
# D(E_F): 20.26 states/eV/cell
# M_tot: 1.572 μB per atom

***

<two>
# GdTiAl2 (GGA-PBE, relaxed)
data_GdTiAl2
_cell_length_a 3.1536
_cell_length_b 3.1536
_cell_length_c 28.6088
_cell_angle_alpha 90.00
_cell_angle_beta 90.00
_cell_angle_gamma 120.00
_space_group_name_H-M_alt 'R -3 m'
_space_group_IT_number 166
_space_group_name_Hall '-R 3 2"'
loop_
_atom_site_label
_atom_site_type_symbol
_atom_site_fract_x
_atom_site_fract_y
_atom_site_fract_z
Gd1 Gd 0.0000 0.0000 0.0000
Ti1 Ti 0.0000 0.0000 0.5000
Al1 Al 0.0000 0.0000 0.2418
# D(E_F): 11.80 states/eV/cell
# M_tot: 1.734 μB per atom

***

<three>
# GdTiAl2 (GGA-PBE, relaxed)
data_GdTiAl2
_cell_length_a 3.0909
_cell_length_b 3.0909
_cell_length_c 8.2000
_cell_angle_alpha 90.00
_cell_angle_beta 90.00
_cell_angle_gamma 90.00
_space_group_name_H-M_alt 'P 4/m m m'
_space_group_IT_number 123
_space_group_name_Hall '-P 4 2'
loop_
_atom_site_label
_atom_site_type_symbol
_atom_site_fract_x
_atom_site_fract_y
_atom_site_fract_z
Gd1 Gd 0.0000 0.0000 0.0000
Ti1 Ti 0.0000 0.0000 0.5000
Al1 Al 0.5000 0.5000 0.2807
# D(E_F): 3.91 states/eV/cell
# M_tot: 1.753 μB per atom

***

<three> ends up most stable, edging out the next structure by 9.1 kJ/mol of atoms.

***

<one>
# GdTm2Al (GGA-PBE, relaxed)
data_GdTm2Al
_cell_length_a 4.7327
_cell_length_b 4.7327
_cell_length_c 4.7116
_cell_angle_alpha 90.00
_cell_angle_beta 90.00
_cell_angle_gamma 90.00
_space_group_name_H-M_alt 'P 4/m m m'
_space_group_IT_number 123
_space_group_name_Hall '-P 4 2'
loop_
_atom_site_label
_atom_site_type_symbol
_atom_site_fract_x
_atom_site_fract_y
_atom_site_fract_z
Gd1 Gd 0.0000 0.0000 0.0000
Tm1 Tm 0.0000 0.5000 0.5000
Al1 Al 0.5000 0.5000 0.0000
# D(E_F): 4.55 states/eV/cell
# M_tot: 1.909 μB per atom

***

<two>
# GdTm2Al (GGA-PBE, relaxed)
data_GdTm2Al
_cell_length_a 7.4937
_cell_length_b 7.4937
_cell_length_c 7.4937
_cell_angle_alpha 90.00
_cell_angle_beta 90.00
_cell_angle_gamma 90.00
_space_group_name_H-M_alt 'F m -3 m'
_space_group_IT_number 225
_space_group_name_Hall '-F 4 2 3'
loop_
_atom_site_label
_atom_site_type_symbol
_atom_site_fract_x
_atom_site_fract_y
_atom_site_fract_z
Gd1 Gd 0.0000 0.0000 0.0000
Tm1 Tm 0.2500 0.2500 0.2500
Al1 Al 0.0000 0.0000 0.5000
# D(E_F): 28.24 states/eV/cell
# M_tot: 2.001 μB per atom

***

<one> ends up most stable, edging out the next structure by 14.7 kJ/mol of atoms.

***

<one>
# Gd2YAl (GGA-PBE, relaxed)
data_Gd2YAl
_cell_length_a 3.4583
_cell_length_b 3.4583
_cell_length_c 35.7584
_cell_angle_alpha 90.00
_cell_angle_beta 90.00
_cell_angle_gamma 120.00
_space_group_name_H-M_alt 'R -3 m'
_space_group_IT_number 166
_space_group_name_Hall '-R 3 2"'
loop_
_atom_site_label
_atom_site_type_symbol
_atom_site_fract_x
_atom_site_fract_y
_atom_site_fract_z
Gd1 Gd 0.0000 0.0000 0.0857
Y1 Y 0.0000 0.0000 0.5000
Al1 Al 0.0000 0.0000 0.0000
# D(E_F): 12.33 states/eV/cell
# M_tot: 3.704 μB per atom

***

<two>
# Gd2YAl (GGA-PBE, relaxed)
data_Gd2YAl
_cell_length_a 3.5380
_cell_length_b 3.5380
_cell_length_c 9.1333
_cell_angle_alpha 90.00
_cell_angle_beta 90.00
_cell_angle_gamma 90.00
_space_group_name_H-M_alt 'P 4/m m m'
_space_group_IT_number 123
_space_group_name_Hall '-P 4 2'
loop_
_atom_site_label
_atom_site_type_symbol
_atom_site_fract_x
_atom_site_fract_y
_atom_site_fract_z
Gd1 Gd 0.0000 0.0000 0.2133
Y1 Y 0.5000 0.5000 0.5000
Al1 Al 0.5000 0.5000 0.0000
# D(E_F): 5.25 states/eV/cell
# M_tot: 3.637 μB per atom

***

<three>
# Gd2YAl (GGA-PBE, relaxed)
data_Gd2YAl
_cell_length_a 4.7597
_cell_length_b 4.7597
_cell_length_c 4.8518
_cell_angle_alpha 90.00
_cell_angle_beta 90.00
_cell_angle_gamma 90.00
_space_group_name_H-M_alt 'P 4/m m m'
_space_group_IT_number 123
_space_group_name_Hall '-P 4 2'
loop_
_atom_site_label
_atom_site_type_symbol
_atom_site_fract_x
_atom_site_fract_y
_atom_site_fract_z
Gd1 Gd 0.0000 0.5000 0.0000
Y1 Y 0.0000 0.0000 0.5000
Al1 Al 0.5000 0.5000 0.5000
# D(E_F): 3.13 states/eV/cell
# M_tot: 3.832 μB per atom

***

<four>
# Gd2YAl (GGA-PBE, relaxed)
data_Gd2YAl
_cell_length_a 7.6134
_cell_length_b 7.6134
_cell_length_c 7.6134
_cell_angle_alpha 90.00
_cell_angle_beta 90.00
_cell_angle_gamma 90.00
_space_group_name_H-M_alt 'F m -3 m'
_space_group_IT_number 225
_space_group_name_Hall '-F 4 2 3'
loop_
_atom_site_label
_atom_site_type_symbol
_atom_site_fract_x
_atom_site_fract_y
_atom_site_fract_z
Gd1 Gd 0.2500 0.2500 0.2500
Y1 Y 0.0000 0.0000 0.0000
Al1 Al 0.0000 0.0000 0.5000
# D(E_F): 20.80 states/eV/cell
# M_tot: 3.865 μB per atom

***

<three> ends up most stable, edging out the next structure by 2.6 kJ/mol of atoms.

***

<one>
# GdYAl (GGA-PBE, relaxed)
data_GdYAl
_cell_length_a 5.0889
_cell_length_b 5.0889
_cell_length_c 3.5768
_cell_angle_alpha 90.00
_cell_angle_beta 90.00
_cell_angle_gamma 120.00
_space_group_name_H-M_alt 'P 3 m 1'
_space_group_IT_number 156
_space_group_name_Hall 'P 3 -2"'
loop_
_atom_site_label
_atom_site_type_symbol
_atom_site_fract_x
_atom_site_fract_y
_atom_site_fract_z
Gd1 Gd 0.0000 0.0000 0.0000
Y1 Y 0.3333 0.6667 0.4348
Al1 Al 0.6667 0.3333 0.7074
# D(E_F): 2.44 states/eV/cell
# M_tot: 2.418 μB per atom

***

<two>
# GdYAl (GGA-PBE, relaxed)
data_GdYAl
_cell_length_a 3.4689
_cell_length_b 3.4689
_cell_length_c 13.5403
_cell_angle_alpha 90.00
_cell_angle_beta 90.00
_cell_angle_gamma 90.00
_space_group_name_H-M_alt 'I 4 m m'
_space_group_IT_number 107
_space_group_name_Hall 'I 4 -2'
loop_
_atom_site_label
_atom_site_type_symbol
_atom_site_fract_x
_atom_site_fract_y
_atom_site_fract_z
Gd1 Gd 0.0000 0.0000 0.0000
Y1 Y 0.0000 0.0000 0.7062
Al1 Al 0.0000 0.0000 0.3516
# D(E_F): 5.42 states/eV/cell
# M_tot: 2.401 μB per atom

***

<two> ends up most stable, edging out the next structure by 9.6 kJ/mol of atoms.